# 1
Entry from Alexandria via LeMat-Bulk: a geometry-optimized InP3O structure (PBE).

Results
Formation energy without anion corrections: 518 meV per atom
Energy relative to the lowest polymorph listed for this composition: 0 meV per atom
Uncorrected energy: -21.338 eV for the cell shown

Cell lengths 4.285, 4.285, 4.285 Å; angles 90.00, 90.00, 90.00 degrees
Element x y z (fractional)
In1 0.000 0.000 0.000
P1 0.000 0.500 0.500
P2 0.500 0.000 0.500
P3 0.500 0.500 0.000
O1 0.500 0.500 0.500

=====

# 2
Entry from Alexandria via LeMat-Bulk: a geometry-optimized K2BeAl structure (PBE).

Results
Energy relative to the lowest polymorph listed for this composition: 26 meV per atom
Uncorrected energy: -15.938 eV for the cell shown
ΔH_f (0 K): 1.7 eV per formula unit

Cell lengths 4.479, 6.155, 10.284 Å; angles 90.00, 90.00, 90.00 degrees
Element x y z (fractional)
K1 0.000 0.000 0.000
K2 0.000 0.500 0.180
K3 0.500 0.000 0.680
K4 0.500 0.500 0.500
Be1 0.000 0.000 0.346
Be2 0.500 0.500 0.846
Al1 0.000 0.500 0.812
Al2 0.500 0.000 0.312

=====

# 3
Entry from Alexandria via LeMat-Bulk: a geometry-optimized LiThIrPd structure (PBE).

Results
Energy relative to the lowest polymorph listed for this composition: 64 meV per atom
Uncorrected energy: -103.041 eV for the cell shown
ΔH_f (0 K): -2.4 eV per formula unit

Cell lengths 6.766, 6.766, 6.766 Å; angles 90.00, 90.00, 90.00 degrees
Element x y z (fractional)
Li1 0.000 0.000 0.000
Li2 0.000 0.500 0.500
Li3 0.500 0.000 0.500
Li4 0.500 0.500 0.000
Th1 0.000 0.000 0.500
Th2 0.000 0.500 0.000
Th3 0.500 0.000 0.000
Th4 0.500 0.500 0.500
Ir1 0.250 0.250 0.750
Ir2 0.250 0.750 0.250
Ir3 0.750 0.250 0.250
Ir4 0.750 0.750 0.750
Pd1 0.250 0.250 0.250
Pd2 0.250 0.750 0.750
Pd3 0.750 0.250 0.750
Pd4 0.750 0.750 0.250

=====

> The lowest uncorrected energy belongs to which entry?

LiThIrPd

=====

> energy relative to the lowest polymorph listed for this composition of number 1 (InP3O)?

0 meV per atom

=====

> uncorrected energy of number 1 (InP3O)?

-21.338 eV for the cell shown

=====

Copy entry 3 word for word.
Entry from Alexandria via LeMat-Bulk: a geometry-optimized LiThIrPd structure (PBE).

Results
Energy relative to the lowest polymorph listed for this composition: 64 meV per atom
Uncorrected energy: -103.041 eV for the cell shown
ΔH_f (0 K): -2.4 eV per formula unit

Cell lengths 6.766, 6.766, 6.766 Å; angles 90.00, 90.00, 90.00 degrees
Element x y z (fractional)
Li1 0.000 0.000 0.000
Li2 0.000 0.500 0.500
Li3 0.500 0.000 0.500
Li4 0.500 0.500 0.000
Th1 0.000 0.000 0.500
Th2 0.000 0.500 0.000
Th3 0.500 0.000 0.000
Th4 0.500 0.500 0.500
Ir1 0.250 0.250 0.750
Ir2 0.250 0.750 0.250
Ir3 0.750 0.250 0.250
Ir4 0.750 0.750 0.750
Pd1 0.250 0.250 0.250
Pd2 0.250 0.750 0.750
Pd3 0.750 0.250 0.750
Pd4 0.750 0.750 0.250